(1)
10
Lattice="8.5268 0.0000 0.0000 0.0000 8.5268 0.0000 0.0000 0.0000 4.2377" Properties=species:S:1:pos:R:3 comment="La2GeTe2 (GGA-PBE, relaxed)" total_magnetization_mub_per_fu=0.00 relative_energy_ev_per_fu=0.58 raw_formation_energy_ev_per_atom=-0.938 space_group="P4/mbm (127)" pbc="T T T"
La 1.3593 2.9041 0.0000
La 2.9041 7.1675 0.0000
La 5.6227 1.3593 0.0000
La 7.1675 5.6227 0.0000
Ge 0.0000 0.0000 2.1189
Ge 4.2634 4.2634 2.1189
Te 1.2370 5.5004 2.1189
Te 3.0264 1.2370 2.1189
Te 5.5004 7.2898 2.1189
Te 7.2898 3.0264 2.1189

---

(2)
10
Lattice="8.5510 0.0000 0.0000 0.0000 8.5510 0.0000 0.0000 0.0000 4.3406" Properties=species:S:1:pos:R:3 comment="La2GeTe2 (GGA-PBE, relaxed)" total_magnetization_mub_per_fu=0.00 relative_energy_ev_per_fu=0.00 raw_formation_energy_ev_per_atom=-1.055 space_group="P4/mbm (127)" pbc="T T T"
La 1.3962 2.8793 0.0000
La 2.8793 7.1547 0.0000
La 5.6717 1.3962 0.0000
La 7.1547 5.6717 0.0000
Ge 0.0000 0.0000 0.0000
Ge 4.2755 4.2755 0.0000
Te 1.2321 5.5075 2.1703
Te 3.0434 1.2321 2.1703
Te 5.5075 7.3189 2.1703
Te 7.3189 3.0434 2.1703

---

(3)
5
Lattice="-2.0266 2.0266 8.5501 2.0266 -2.0266 8.5501 2.0266 2.0266 -8.5501" Properties=species:S:1:pos:R:3 comment="La2Ge2Te (GGA-PBE, relaxed)" total_magnetization_mub_per_fu=0.00 relative_energy_ev_per_fu=0.89 raw_formation_energy_ev_per_atom=-0.922 space_group="I4/mmm (139)" pbc="T T T"
La 0.0000 0.0000 1.8881
La 0.0000 0.0000 15.2120
Ge 2.0266 0.0000 4.2750
Ge 0.0000 2.0266 4.2750
Te 0.0000 0.0000 8.5501

---

(4)
5
Lattice="-1.9987 1.9987 8.8664 1.9987 -1.9987 8.8664 1.9987 1.9987 -8.8664" Properties=species:S:1:pos:R:3 comment="LaGe2Te2 (GGA-PBE, relaxed)" total_magnetization_mub_per_fu=0.00 relative_energy_ev_per_fu=0.00 raw_formation_energy_ev_per_atom=-0.509 space_group="I4/mmm (139)" pbc="T T T"
La 0.0000 0.0000 0.0000
Ge 1.9987 0.0000 4.4332
Ge 0.0000 1.9987 4.4332
Te 0.0000 0.0000 7.0968
Te 0.0000 0.0000 10.6360

---

(5)
8
Lattice="4.5813 -6.4459 0.0000 4.5813 6.4459 0.0000 0.0000 0.0000 4.5313" Properties=species:S:1:pos:R:3 comment="La4GeTe3 (GGA-PBE, relaxed)" total_magnetization_mub_per_fu=0.00 raw_formation_energy_ev_per_atom=-1.472 space_group="Cmmm (65)" pbc="T T T"
La 2.1085 0.0000 2.2656
La 4.5813 3.3738 0.0000
La 4.5813 -3.3738 0.0000
La 7.0540 0.0000 2.2656
Ge 0.0000 0.0000 0.0000
Te 2.2906 3.2229 2.2656
Te 2.2906 -3.2229 2.2656
Te 4.5813 0.0000 0.0000

---

(6)
5
Lattice="5.7144 0.0000 0.0000 0.0000 5.7144 0.0000 0.0000 0.0000 5.7144" Properties=species:S:1:pos:R:3 comment="La3GeTe (GGA-PBE, relaxed)" total_magnetization_mub_per_fu=0.00 relative_energy_ev_per_fu=1.07 raw_formation_energy_ev_per_atom=-0.503 space_group="Pm-3m (221)" pbc="T T T"
La 0.0000 0.0000 2.8572
La 0.0000 2.8572 0.0000
La 2.8572 0.0000 0.0000
Ge 0.0000 0.0000 0.0000
Te 2.8572 2.8572 2.8572

---

(7)
14
Lattice="7.0659 0.0000 0.0000 0.0000 7.1755 0.0000 -2.9165 0.0000 9.0040" Properties=species:S:1:pos:R:3 comment="La2GeTe4 (GGA-PBE, relaxed)" total_magnetization_mub_per_fu=0.00 raw_formation_energy_ev_per_atom=-1.033 space_group="P2_1/m (11)" pbc="T T T"
La 1.4024 1.7939 0.3517
La 0.2893 1.7939 5.2076
La 3.8601 5.3816 3.7964
La 2.7470 5.3816 8.6523
Ge 1.0447 5.3816 2.9069
Ge 3.1046 1.7939 6.0971
Te -0.7631 0.0616 2.3920
Te -0.7631 3.5261 2.3920
Te 2.6017 5.3816 0.5297
Te 1.2529 5.3816 5.8643
Te 2.8964 1.7939 3.1397
Te 1.5476 1.7939 8.4743
Te 4.9125 3.6494 6.6120
Te 4.9125 7.1139 6.6120

---

(8)
5
Lattice="3.8162 -2.2466 0.0000 3.8162 2.2466 0.0000 -2.4847 0.0000 8.2573" Properties=species:S:1:pos:R:3 comment="La2Ge2Te (GGA-PBE, relaxed)" total_magnetization_mub_per_fu=0.00 relative_energy_ev_per_fu=0.00 raw_formation_energy_ev_per_atom=-1.100 space_group="C2/m (12)" pbc="T T T"
La 0.0154 0.0000 2.0473
La 5.1321 0.0000 6.2099
Ge 0.0488 0.0000 8.1314
Ge 5.0988 0.0000 0.1258
Te 2.5738 0.0000 4.1286